Entry from Alexandria via LeMat-Bulk: a relaxed structure of Rb2OsO3 (PBE-GGA).

ΔE_f (raw) = -1.26 eV/atom
Space group = P6_3/mmc, No. 194
Total magnetization = 2.00 μB per formula unit

Lattice parameters (Å, degrees): 6.740 6.740 7.828 90.00 90.00 120.00
Positions (direct):
Rb (0.000, 0.000, 0.000)
Rb (0.667, 0.333, 0.250)
Rb (0.000, 0.000, 0.500)
Rb (0.333, 0.667, 0.750)
Os (0.333, 0.667, 0.250)
Os (0.667, 0.333, 0.750)
O (0.179, 0.358, 0.250)
O (0.642, 0.821, 0.250)
O (0.179, 0.821, 0.250)
O (0.821, 0.642, 0.750)
O (0.821, 0.179, 0.750)
O (0.358, 0.179, 0.750)



Entry from Alexandria via LeMat-Bulk: a relaxed structure of RbOsO3 (PBE-GGA).

ΔE_f (raw) = -1.06 eV/atom
Space group = Immm, No. 71
Total magnetization = 0.00 μB per formula unit

Lattice parameters (Å, degrees): 5.892 7.147 7.147 80.02 65.65 65.65
Positions (direct):
Rb (0.000, 0.226, 0.774)
Rb (0.000, 0.774, 0.226)
Os (0.330, 0.670, 0.670)
Os (0.670, 0.330, 0.330)
O (0.500, 0.626, 0.374)
O (0.500, 0.374, 0.626)
O (0.975, 0.783, 0.783)
O (0.542, 0.217, 0.217)
O (0.025, 0.217, 0.217)
O (0.458, 0.783, 0.783)



Entry from Alexandria via LeMat-Bulk: a relaxed structure of Rb2Os2O7 (PBE-GGA).

ΔE_f (raw) = -1.17 eV/atom
Space group = C2/m, No. 12
Total magnetization = 0.00 μB per formula unit

Lattice parameters (Å, degrees): 5.387 7.020 7.020 105.92 87.46 87.46
Positions (direct):
Rb (0.500, 0.702, 0.298)
Rb (0.500, 0.298, 0.702)
Os (0.054, 0.213, 0.213)
Os (0.946, 0.787, 0.787)
O (0.237, 0.351, 0.084)
O (0.763, 0.916, 0.649)
O (0.763, 0.649, 0.916)
O (0.237, 0.084, 0.351)
O (0.196, 0.641, 0.641)
O (0.000, 0.000, 0.000)
O (0.804, 0.359, 0.359)